(1)
Computed, not measured: a crystal of TlCrRh relaxed with PBEsol at the meta-GGA SCAN level of DFT.

Lattice parameters (Å, degrees): 3.010 4.360 4.360 120.00 90.00 90.00
Site moments in Bohr magnetons follow the coordinates.
Sites, in units of the cell vectors:
Cr1 0.000 0.000 0.000  3.42
Rh1 0.000 0.333 0.667  0.07
Tl1 0.500 0.667 0.333  -0.04

Summary:
Its energy relative to the elements is 0.231 eV/atom. As for the theoretical density: 12.04 g cm⁻³. For the electronic total energy, the calculation gives -41.274 eV/atom.

(2)
Computed, not measured: a crystal of TlCrRh2 relaxed with PBEsol at the meta-GGA SCAN level of DFT.

Lattice parameters (Å, degrees): 2.860 2.860 7.488 90.00 90.00 90.00
Site moments in Bohr magnetons follow the coordinates.
Sites, in units of the cell vectors:
Cr1 0.500 0.500 0.785  3.11
Rh1 0.000 0.000 0.987  -0.33
Rh2 0.500 0.500 0.232  -0.30
Tl1 0.000 0.000 0.497  -0.04

Summary:
Its energy relative to the elements is 0.221 eV/atom. As for the theoretical density: 12.53 g cm⁻³. For the electronic total energy, the calculation gives -39.350 eV/atom.

> The lowest energy relative to the elements belongs to which entry?

TlCrRh2

> electronic total energy of number 2 (TlCrRh2)?

-39.350 eV/atom